Entry 1:
Th2TiTl PBE optimized geometry; E above lowest polymorph = 0 meV per atom; total magnetization = 0.00 μB per cell; crystal system = tetragonal; energy of formation from the pure elements = 0.069 eV/atom
1.0
-3.213 0.977 0.442
-0.916 -1.772 -2.737
-1.589 -7.730 5.536
Tl Th Ti
1 2 1
Direct
0.500 0.500 0.500
0.000 0.000 0.226
0.000 0.000 0.774
0.500 0.500 0.000

Entry 2:
Sc3TlF PBE optimized geometry; E above lowest polymorph = 0 meV per atom; total magnetization = 0.00 μB per cell; energy relative to the elements, uncorrected = -0.954 eV/atom; crystal system = cubic
1.0
-0.159 1.548 -4.295
2.277 -3.698 -1.417
-3.957 -2.190 -0.643
Tl Sc F
1 3 1
Direct
0.500 0.500 0.500
0.000 0.500 0.000
0.500 0.000 0.000
0.000 0.000 0.500
0.000 0.000 0.000

Entry 3:
Hf2GeSb2 PBE optimized geometry; E above lowest polymorph = 0 meV per atom; total magnetization = 0.00 μB per cell; energy relative to the elements, uncorrected = -0.334 eV/atom; crystal system = tetragonal
1.0
-4.442 6.007 -0.618
-5.169 -3.385 4.245
1.671 1.574 3.290
Sb Hf Ge
4 4 2
Direct
0.649 0.851 0.500
0.851 0.351 0.500
0.149 0.649 0.500
0.351 0.149 0.500
0.153 0.347 0.000
0.847 0.653 0.000
0.653 0.153 0.000
0.347 0.847 0.000
0.000 0.000 0.000
0.500 0.500 0.000

Entry 4:
Ti2In2P PBE optimized geometry; E above lowest polymorph = 0 meV per atom; total magnetization = 0.00 μB per cell; crystal system = tetragonal; energy of formation from the pure elements = -0.435 eV/atom
1.0
6.444 0.000 0.000
0.000 6.444 0.000
0.000 0.000 4.620
Ti In P
4 4 2
Direct
0.660 0.160 0.000
0.160 0.340 0.000
0.340 0.840 0.000
0.840 0.660 0.000
0.158 0.658 0.500
0.342 0.158 0.500
0.842 0.342 0.500
0.658 0.842 0.500
0.000 0.000 0.000
0.500 0.500 0.000

Entry 5:
CaSc2Rh PBE optimized geometry; E above lowest polymorph = 805 meV per atom; total magnetization = 1.06 μB per cell; crystal system = tetragonal; energy of formation from the pure elements = 0.412 eV/atom
1.0
-1.750 -0.018 5.432
2.327 -5.159 0.732
7.344 0.917 5.368
Ca Sc Rh
2 4 2
Direct
0.250 0.750 0.500
0.500 0.500 0.000
0.875 0.625 0.250
0.875 0.125 0.750
0.875 0.125 0.250
0.375 0.125 0.750
0.000 0.000 0.000
0.750 0.250 0.500

Entry 6:
Ta2InRh PBE optimized geometry; total magnetization = 0.00 μB per cell; crystal system = tetragonal; energy of formation from the pure elements = -0.127 eV/atom
1.0
2.913 0.000 0.000
0.000 2.913 0.000
0.000 0.000 8.369
In Rh Ta
1 1 2
Direct
0.500 0.500 0.000
0.500 0.500 0.500
0.000 0.000 0.275
0.000 0.000 0.725